# GaMo2C PBE-GGA relaxed
data_GaMo2C
_chemical_formula_sum 'Ga2 Mo4 C2'
_cell_length_a 3.0654
_cell_length_b 3.0654
_cell_length_c 13.2226
_cell_angle_alpha 90.00
_cell_angle_beta 90.00
_cell_angle_gamma 120.00
_symmetry_space_group_name_H-M 'P 63/m m c'
_symmetry_Int_Tables_number 194
_symmetry_space_group_name_Hall '-P 6c 2c'
loop_
_atom_site_label
_atom_site_type_symbol
_atom_site_fract_x
_atom_site_fract_y
_atom_site_fract_z
Ga1 Ga 0.3333 0.6667 0.2500
Mo1 Mo 0.3333 0.6667 0.5891
C1 C 0.0000 0.0000 0.0000
# E_tot: -8.602 eV/atom
# magnetic moment: 0.0001 μB per atom
# energy above the most stable polymorph in this dataset: 0 meV/atom
# crystal system: hexagonal